No. 1
Below is TaCu2Ir after structural relaxation, with properties calculated at the GGA-PBE level.

Calculated values
DFT total energy   -59.40 eV/cell
Polymorph energy (0 for the lowest one)   0 meV/atom
Calculated volume   14.1 Å³/atom

a = 3.7927 Å, b = 3.8848 Å, c = 7.6694 Å
α = 90.00°, β = 90.00°, γ = 90.00°
Fractional coordinates of all 8 atoms:
Ta (0.0000, 0.0000, 0.0000)
Ta (0.5000, 0.5000, 0.5000)
Cu (0.0000, 0.0000, 0.4975)
Cu (0.0000, 0.5000, 0.7515)
Cu (0.5000, 0.0000, 0.2515)
Cu (0.5000, 0.5000, 0.9975)
Ir (0.0000, 0.5000, 0.2492)
Ir (0.5000, 0.0000, 0.7492)



No. 2
Below is PaBe2Al after structural relaxation, with properties calculated at the GGA-PBE level.

Calculated values
DFT total energy   -81.70 eV/cell
Calculated volume   15.4 Å³/atom

a = 6.2642 Å, b = 6.2642 Å, c = 6.2642 Å
α = 90.00°, β = 90.00°, γ = 90.00°
Fractional coordinates of all 16 atoms:
Pa (0.0000, 0.0000, 0.0000)
Pa (0.0000, 0.5000, 0.5000)
Pa (0.5000, 0.0000, 0.5000)
Pa (0.5000, 0.5000, 0.0000)
Be (0.2500, 0.2500, 0.2500)
Be (0.2500, 0.2500, 0.7500)
Be (0.2500, 0.7500, 0.2500)
Be (0.2500, 0.7500, 0.7500)
Be (0.7500, 0.2500, 0.2500)
Be (0.7500, 0.2500, 0.7500)
Be (0.7500, 0.7500, 0.2500)
Be (0.7500, 0.7500, 0.7500)
Al (0.0000, 0.0000, 0.5000)
Al (0.0000, 0.5000, 0.0000)
Al (0.5000, 0.0000, 0.0000)
Al (0.5000, 0.5000, 0.5000)



Values of formation enthalpy at 0 K, in order: -0.199 0.067, all in eV/atom.
Values of mass density, in order: 14703 7459, all in kg/m3.